Entry 1:
Computed, not measured: crystalline Cu2PCl4 at its relaxed geometry at the PBEsol level of DFT.

abc: 6.5102 9.2606 11.8937
angles: 90.00 90.00 90.00
Fractional positions:
P: 0.4509 0.7500 0.2081
Cl: 0.5726 0.5780 0.2953
Cl: 0.5726 0.9220 0.2953
Cl: 0.4512 0.2500 0.4241
Cl: 0.0488 0.2500 0.9241
P: 0.5491 0.2500 0.7919
Cl: 0.4274 0.0780 0.7047
Cl: 0.1080 0.7500 0.4192
Cl: 0.0726 0.0780 0.2047
Cl: 0.6080 0.2500 0.0808
Cl: 0.9512 0.7500 0.0759
P: 0.9509 0.2500 0.2919
Cl: 0.8920 0.2500 0.5808
Cl: 0.9274 0.9220 0.7953
Cl: 0.5488 0.7500 0.5759
Cl: 0.3920 0.7500 0.9192
Cu: 0.6124 0.2500 0.2640
Cl: 0.4274 0.4220 0.7047
Cu: 0.8755 0.7500 0.5479
P: 0.0491 0.7500 0.7081
Cl: 0.9274 0.5780 0.7953
Cu: 0.1245 0.2500 0.4521
Cu: 0.8876 0.2500 0.7640
Cu: 0.3755 0.2500 0.9521
Cu: 0.3876 0.7500 0.7360
Cu: 0.6245 0.7500 0.0479
Cu: 0.1124 0.7500 0.2360
Cl: 0.0726 0.4220 0.2047

Values from the calculation:
final energy = -3.6233 eV per atom
space group = Pnma
total magnetization = 0.001 μB per cell
E_form (uncorrected) = -410 meV/atom
ρ = 2.8 g cm⁻³

Entry 2:
Computed, not measured: crystalline Ho2S3 at its relaxed geometry at the PBEsol level of DFT.

abc: 6.7893 6.7893 7.2121
angles: 61.92 61.92 60.00
Fractional positions:
S: 0.4492 0.0508 0.7500
S: 0.5508 0.9492 0.2500
S: 0.2500 0.5508 0.2500
Ho: 0.8504 0.8504 0.4487
S: 0.0508 0.7500 0.7500
Ho: 0.3504 0.3504 0.9487
Ho: 0.6496 0.6496 0.0513
Ho: 0.1496 0.1496 0.5513
S: 0.7500 0.4492 0.7500
S: 0.9492 0.2500 0.2500

Values from the calculation:
final energy = -6.6916 eV per atom
space group = R-3c
total magnetization = 0.000 μB per cell
E_form (uncorrected) = -2081 meV/atom
ρ = 5.9 g cm⁻³

Entry 3:
Computed, not measured: crystalline CaPtSe at its relaxed geometry at the PBEsol level of DFT.

abc: 3.8600 3.8600 5.0127
angles: 112.65 112.65 90.00
Fractional positions:
Ca: 0.0074 0.0074 0.0149
Pt: 0.6408 0.6408 0.2816
Se: 0.3518 0.3518 0.7035

Values from the calculation:
final energy = -5.0168 eV per atom
space group = I4mm
total magnetization = 0.000 μB per cell
E_form (uncorrected) = -701 meV/atom
ρ = 8.3 g cm⁻³

Entry 4:
Computed, not measured: crystalline YSnCl2 at its relaxed geometry at the PBEsol level of DFT.

abc: 3.4576 3.4576 10.1255
angles: 80.17 80.17 60.00
Fractional positions:
Cl: 0.8940 0.8940 0.3181
Sn: 0.0000 0.0000 0.0000
Cl: 0.1060 0.1060 0.6819
Y: 0.5000 0.5000 0.5000

Values from the calculation:
final energy = -5.0414 eV per atom
space group = R-3m
total magnetization = 0.000 μB per cell
E_form (uncorrected) = -1267 meV/atom
ρ = 4.5 g cm⁻³

Entry 5:
Computed, not measured: crystalline TcP2Pb at its relaxed geometry at the PBEsol level of DFT.

abc: 3.1535 3.1535 8.1269
angles: 78.81 78.81 60.00
Fractional positions:
P: 0.9992 0.9992 0.0026
Tc: 0.2672 0.2672 0.1984
P: 0.7309 0.7309 0.8072
Pb: 0.5027 0.5027 0.4919

Values from the calculation:
final energy = -6.4367 eV per atom
space group = R3m
total magnetization = 0.000 μB per cell
DFT formation energy = 0.275 eV/atom
ρ = 8.9 g cm⁻³

Entry 6:
Computed, not measured: crystalline Li2WS4 at its relaxed geometry at the PBEsol level of DFT.

abc: 6.0198 6.3299 6.0198
angles: 61.61 90.00 118.39
Fractional positions:
S: 0.0810 0.7357 0.9190
S: 0.9190 0.2643 0.6547
Li: 0.0000 0.0000 0.5000
W: 0.0000 0.0000 0.0000
Li: 0.5000 0.0000 0.0000
S: 0.3453 0.2643 0.0810
S: 0.6547 0.7357 0.3453

Values from the calculation:
excess energy over the best structure of this formula in the dataset = 16.3 meV per atom
final energy = -5.8434 eV per atom
space group = I-42m
total magnetization = 0.000 μB per cell
E_form (uncorrected) = -804 meV/atom
ρ = 3.2 g cm⁻³

Entry 7:
Computed, not measured: crystalline Ag2TeN at its relaxed geometry at the PBEsol level of DFT.

abc: 4.5915 4.5915 4.5915
angles: 60.00 60.00 60.00
Each line ends with the local moment (μB).
Fractional positions:
Ag: 0.2500 0.2500 0.2500  0.07
Ag: 0.7500 0.7500 0.7500  0.07
Te: 0.5000 0.5000 0.5000  0.20
N: 0.0000 0.0000 0.0000  0.70

Values from the calculation:
final energy = -3.5052 eV per atom
space group = Fm-3m
total magnetization = 1.375 μB per cell
E_form (uncorrected) = 1164 meV/atom
ρ = 8.7 g cm⁻³

Entry 8:
Computed, not measured: crystalline Sc2AlRu at its relaxed geometry at the PBEsol level of DFT.

abc: 3.2631 3.2631 6.5477
angles: 90.00 90.00 90.00
Fractional positions:
Sc: 0.0000 0.0000 0.5229
Al: 0.5000 0.5000 0.2500
Ru: 0.5000 0.5000 0.7500
Sc: 0.0000 0.0000 0.9771

Values from the calculation:
final energy = -7.4350 eV per atom
space group = P4/mmm
total magnetization = 0.000 μB per cell
DFT formation energy = -0.566 eV/atom
ρ = 5.2 g cm⁻³

Entry 9:
Computed, not measured: crystalline CoSe2Br at its relaxed geometry at the PBEsol level of DFT.

abc: 2.8408 2.8408 10.8418
angles: 90.00 90.00 90.00
Each line ends with the local moment (μB).
Fractional positions:
Co: 0.5000 0.5000 0.9651  0.49
Br: 0.0000 0.0000 0.5018  0.00
Se: 0.0000 0.0000 0.8538  -0.01
Se: 0.5000 0.5000 0.1792  0.04

Values from the calculation:
excess energy over the best structure of this formula in the dataset = 273.2 meV per atom
final energy = -4.3086 eV per atom
space group = P4mm
total magnetization = 0.543 μB per cell
E_form (uncorrected) = 18 meV/atom
ρ = 5.6 g cm⁻³

Entry 10:
Computed, not measured: crystalline Zr4Re3 at its relaxed geometry at the PBEsol level of DFT.

abc: 5.1964 5.1964 5.5706
angles: 90.00 90.00 120.00
Fractional positions:
Zr: 0.3333 0.6667 0.5000
Zr: 0.0000 0.0000 0.2528
Zr: 0.0000 0.0000 0.7472
Zr: 0.6667 0.3333 0.5000
Re: 0.0000 0.5000 0.0000
Re: 0.5000 0.0000 0.0000
Re: 0.5000 0.5000 0.0000

Values from the calculation:
final energy = -11.1729 eV per atom
space group = P6/mmm
total magnetization = 0.000 μB per cell
DFT formation energy = -0.265 eV/atom
ρ = 11.8 g cm⁻³

Entry 11:
Computed, not measured: crystalline OsRh2 at its relaxed geometry at the PBEsol level of DFT.

abc: 2.6993 5.1014 6.3512
angles: 103.72 90.00 105.34
Fractional positions:
Os: 0.6638 0.3276 0.3290
Rh: 0.3342 0.6683 0.6687
Rh: 0.0576 0.1152 0.6092
Rh: 0.7206 0.4413 0.9450
Rh: 0.3883 0.7765 0.2782
Os: 0.0022 0.0044 0.0032

Values from the calculation:
excess energy over the best structure of this formula in the dataset = 26.4 meV per atom
final energy = -9.4666 eV per atom
space group = Cm
total magnetization = 0.000 μB per cell
DFT formation energy = 0.031 eV/atom
ρ = 16.1 g cm⁻³

Entry 12:
Computed, not measured: crystalline Mg3Zr at its relaxed geometry at the PBEsol level of DFT.

abc: 4.9913 6.2921 6.2921
angles: 120.00 90.00 90.00
Fractional positions:
Mg: 0.2500 0.3349 0.1675
Zr: 0.7500 0.6667 0.3333
Mg: 0.7500 0.1675 0.3349
Mg: 0.2500 0.8325 0.6651
Mg: 0.7500 0.1675 0.8325
Mg: 0.2500 0.8325 0.1675
Mg: 0.7500 0.6651 0.8325
Zr: 0.2500 0.3333 0.6667

Values from the calculation:
final energy = -3.5050 eV per atom
space group = P6_3/mmc
total magnetization = 0.000 μB per cell
DFT formation energy = 0.055 eV/atom
ρ = 3.2 g cm⁻³